Record 1
! SrCaI2N, optimized geometry, DFT PBE; values from VASP
&SYSTEM
  ibrav = 0, nat = 5, ntyp = 4
/
ATOMIC_SPECIES
Sr 87.62 Sr.upf
Ca 40.08 Ca.upf
I 126.90 I.upf
N 14.01 N.upf
CELL_PARAMETERS angstrom
6.334 0.000 0.000
0.000 6.334 0.000
0.000 0.000 4.425
ATOMIC_POSITIONS crystal
Sr 0.000 0.000 0.000
Ca 0.500 0.500 0.500
I 0.000 0.500 0.000
I 0.500 0.000 0.000
N 0.000 0.000 0.500
! distance to the lowest polymorph of the same formula: 259 meV per atom
! formation energy without anion corrections: -0.249 eV per atom
! calculated volume: 177.5 Å³ per cell
! N(E_F): 3.53 states/eV/cell
! raw total energy: -3.271 eV per atom

---

Record 2
! TiAsP, optimized geometry, DFT PBE; values from VASP
&SYSTEM
  ibrav = 0, nat = 6, ntyp = 3
/
ATOMIC_SPECIES
Ti 47.87 Ti.upf
As 74.92 As.upf
P 30.97 P.upf
CELL_PARAMETERS angstrom
3.481 0.000 0.000
0.000 3.481 0.000
0.000 0.000 7.676
ATOMIC_POSITIONS crystal
Ti 0.250 0.250 0.249
Ti 0.750 0.750 0.751
As 0.250 0.250 0.613
As 0.750 0.750 0.387
P 0.250 0.750 0.000
P 0.750 0.250 0.000
! calculated volume: 93.0 Å³ per cell
! N(E_F): 3.51 states/eV/cell
! ΔH_f (0 K): -724 meV/atom
! raw total energy: -6.708 eV per atom

---

Record 3
! Lu4Pb2C, optimized geometry, DFT PBE; values from VASP
&SYSTEM
  ibrav = 0, nat = 7, ntyp = 3
/
ATOMIC_SPECIES
Lu 174.97 Lu.upf
Pb 207.20 Pb.upf
C 12.01 C.upf
CELL_PARAMETERS angstrom
-2.355 2.355 7.869
2.355 -2.355 7.869
2.355 2.355 -7.869
ATOMIC_POSITIONS crystal
Lu 0.000 0.500 0.500
Lu 0.155 0.155 0.000
Lu 0.500 0.000 0.500
Lu 0.845 0.845 0.000
Pb 0.356 0.356 0.000
Pb 0.644 0.644 0.000
C 0.000 0.000 0.000
! calculated volume: 174.6 Å³ per cell
! N(E_F): 0.79 states/eV/cell
! ΔH_f (0 K): -560 meV/atom
! raw total energy: -5.520 eV per atom

---

Record 4
! HoCuP2O8, optimized geometry, DFT PBE; values from VASP
&SYSTEM
  ibrav = 0, nat = 12, ntyp = 4
/
ATOMIC_SPECIES
Ho 164.93 Ho.upf
Cu 63.55 Cu.upf
P 30.97 P.upf
O 16.00 O.upf
CELL_PARAMETERS angstrom
5.148 0.000 0.000
-2.574 4.458 0.000
0.000 0.000 6.432
ATOMIC_POSITIONS crystal
Ho 0.000 0.000 0.000
Cu 0.000 0.000 0.500
P 0.333 0.667 0.223
P 0.667 0.333 0.777
O 0.166 0.333 0.289
O 0.166 0.834 0.289
O 0.333 0.166 0.711
O 0.333 0.667 0.984
O 0.667 0.333 0.016
O 0.667 0.834 0.289
O 0.834 0.166 0.711
O 0.834 0.667 0.711
! formation energy without anion corrections: -2.076 eV per atom
! calculated volume: 147.6 Å³ per cell
! N(E_F): 1.23 states/eV/cell
! raw total energy: -7.006 eV per atom

---

Record 5
! Li2TaAu, optimized geometry, DFT PBE; values from VASP
&SYSTEM
  ibrav = 0, nat = 4, ntyp = 3
/
ATOMIC_SPECIES
Li 6.94 Li.upf
Ta 180.95 Ta.upf
Au 196.97 Au.upf
CELL_PARAMETERS angstrom
1.597 -2.229 0.000
1.597 2.229 0.000
0.000 0.000 9.381
ATOMIC_POSITIONS crystal
Li 0.000 0.000 0.232
Li 0.000 0.000 0.768
Ta 0.500 0.500 0.500
Au 0.500 0.500 0.000
! distance to the lowest polymorph of the same formula: 0 meV per atom
! calculated volume: 66.8 Å³ per cell
! N(E_F): 2.21 states/eV/cell
! ΔH_f (0 K): 9 meV/atom
! raw total energy: -4.731 eV per atom

---

Record 6
! HfPb2I, optimized geometry, DFT PBE; values from VASP
&SYSTEM
  ibrav = 0, nat = 8, ntyp = 3
/
ATOMIC_SPECIES
Hf 178.49 Hf.upf
Pb 207.20 Pb.upf
I 126.90 I.upf
CELL_PARAMETERS angstrom
-2.244 2.244 11.785
2.244 -2.244 11.785
2.244 2.244 -11.785
ATOMIC_POSITIONS crystal
Hf 0.000 0.000 0.000
Hf 0.750 0.250 0.500
Pb 0.110 0.625 0.985
Pb 0.375 0.360 0.485
Pb 0.640 0.125 0.015
Pb 0.875 0.890 0.515
I 0.250 0.750 0.500
I 0.500 0.500 0.000
! distance to the lowest polymorph of the same formula: 0 meV per atom
! formation energy without anion corrections: 0.486 eV per atom
! calculated volume: 237.5 Å³ per cell
! N(E_F): 8.28 states/eV/cell
! raw total energy: -4.244 eV per atom

---

Record 7
! SmYIr, optimized geometry, DFT PBE; values from VASP
&SYSTEM
  ibrav = 0, nat = 3, ntyp = 3
/
ATOMIC_SPECIES
Sm 150.36 Sm.upf
Y 88.91 Y.upf
Ir 192.22 Ir.upf
CELL_PARAMETERS angstrom
4.143 0.000 0.000
-2.072 3.588 0.000
0.000 0.000 6.241
ATOMIC_POSITIONS crystal
Sm 0.000 0.000 0.000
Y 0.333 0.667 0.460
Ir 0.667 0.333 0.235
! distance to the lowest polymorph of the same formula: 110 meV per atom
! calculated volume: 92.8 Å³ per cell
! N(E_F): 2.06 states/eV/cell
! ΔH_f (0 K): -508 meV/atom
! raw total energy: -7.190 eV per atom

---

Record 8
! Tb2Pr3Tm8, optimized geometry, DFT PBE; values from VASP
&SYSTEM
  ibrav = 0, nat = 13, ntyp = 3
/
ATOMIC_SPECIES
Tb 158.93 Tb.upf
Pr 140.91 Pr.upf
Tm 168.93 Tm.upf
CELL_PARAMETERS angstrom
10.025 -3.849 0.000
10.025 3.849 0.000
-0.003 0.000 5.596
ATOMIC_POSITIONS crystal
Tb 0.241 0.241 0.499
Tb 0.759 0.759 0.501
Pr 0.000 0.000 0.500
Pr 0.294 0.706 0.000
Pr 0.706 0.294 0.000
Tm 0.135 0.135 0.000
Tm 0.181 0.598 0.500
Tm 0.329 0.329 0.999
Tm 0.402 0.819 0.500
Tm 0.598 0.181 0.500
Tm 0.671 0.671 0.001
Tm 0.819 0.402 0.500
Tm 0.865 0.865 0.000
! distance to the lowest polymorph of the same formula: 234 meV per atom
! calculated volume: 431.8 Å³ per cell
! N(E_F): 22.68 states/eV/cell
! ΔH_f (0 K): 261 meV/atom
! raw total energy: -4.306 eV per atom

---

Record 9
! HoInCu2, optimized geometry, DFT PBE; values from VASP
&SYSTEM
  ibrav = 0, nat = 4, ntyp = 3
/
ATOMIC_SPECIES
Ho 164.93 Ho.upf
In 114.82 In.upf
Cu 63.55 Cu.upf
CELL_PARAMETERS angstrom
0.000 3.312 3.312
3.312 0.000 3.312
3.312 3.312 0.000
ATOMIC_POSITIONS crystal
Ho 0.000 0.000 0.000
In 0.500 0.500 0.500
Cu 0.250 0.250 0.250
Cu 0.750 0.750 0.750
! calculated volume: 72.7 Å³ per cell
! N(E_F): 2.47 states/eV/cell
! ΔH_f (0 K): -331 meV/atom
! raw total energy: -4.208 eV per atom

---

Record 10
! NdTh2Si2Rh7, optimized geometry, DFT PBE; values from VASP
&SYSTEM
  ibrav = 0, nat = 12, ntyp = 4
/
ATOMIC_SPECIES
Nd 144.24 Nd.upf
Th 232.04 Th.upf
Si 28.09 Si.upf
Rh 102.91 Rh.upf
CELL_PARAMETERS angstrom
2.934 -2.897 0.000
2.934 2.897 0.000
-1.824 0.000 13.023
ATOMIC_POSITIONS crystal
Nd 0.000 0.000 0.000
Th 0.098 0.098 0.349
Th 0.902 0.902 0.651
Si 0.423 0.423 0.746
Si 0.577 0.577 0.254
Rh 0.051 0.551 0.168
Rh 0.348 0.348 0.567
Rh 0.449 0.949 0.832
Rh 0.500 0.500 0.000
Rh 0.551 0.051 0.168
Rh 0.652 0.652 0.433
Rh 0.949 0.449 0.832
! formation energy without anion corrections: -0.852 eV per atom
! calculated volume: 221.3 Å³ per cell
! N(E_F): 5.16 states/eV/cell
! raw total energy: -7.678 eV per atom